Density functional theory data (GGA-PBE) for a relaxed PdAuF5 crystal.

The total moment comes out at 0.00 μB per cell. The value obtained for the formation energy from raw total energies is -1.051 eV per atom.

Lattice parameters (Å, degrees): 5.777 5.802 7.895 97.41 97.02 114.85
Space group P-1 (No. 2)
Symmetry-distinct sites (fractional):
Pd (0.000, 0.000, 0.000)
Pd (0.000, 0.000, 0.500)
Au (0.360, 0.641, 0.248)
F (0.064, 0.933, 0.749)
F (0.142, 0.746, 0.070)
F (0.255, 0.860, 0.425)
F (0.312, 0.346, 0.580)
F (0.348, 0.310, 0.077)